Record 1
CSe3 (PBE, optimized geometry); formation energy (no corrections) = 566 meV/atom; SG = No. 2; density of states at the Fermi level = 0.1182 states/eV/atom; calculated density = 2.8 g cm⁻³; E above lowest polymorph = 0 meV/atom; magnetic moment = 0.000 Bohr magnetons per cell
1.0
-0.392 -1.085 3.950
1.201 -4.426 -0.079
15.179 3.161 3.682
C Se
2 6
Direct
0.371 0.896 0.194
0.629 0.104 0.806
0.727 0.621 0.478
0.273 0.379 0.522
0.582 0.732 0.106
0.418 0.268 0.894
0.161 0.063 0.281
0.839 0.937 0.719

Record 2
CSe (PBE, optimized geometry); formation energy (no corrections) = 1434 meV/atom; SG = No. 62; calculated density = 4.4 g cm⁻³; E above lowest polymorph = 930 meV/atom; magnetic moment = 0.000 Bohr magnetons per cell
1.0
-2.454 1.220 -1.299
-2.201 -0.895 3.319
2.568 9.795 4.346
C Se
4 4
Direct
0.750 0.500 0.678
0.250 0.000 0.822
0.250 0.500 0.322
0.750 0.000 0.178
0.750 0.299 0.844
0.250 0.799 0.656
0.250 0.701 0.156
0.750 0.201 0.344

Record 3
C3Se4 (PBE, optimized geometry); formation energy (no corrections) = 1513 meV/atom; SG = No. 215; density of states at the Fermi level = 0.4868 states/eV/atom; calculated density = 4.9 g cm⁻³; E above lowest polymorph = 0 meV/atom; magnetic moment = 0.000 Bohr magnetons per cell
1.0
4.919 0.000 0.000
0.000 4.919 0.000
0.000 0.000 4.919
C Se
3 4
Direct
0.500 0.000 0.500
0.500 0.500 0.000
0.000 0.500 0.500
0.247 0.753 0.247
0.753 0.247 0.247
0.753 0.753 0.753
0.247 0.247 0.753

Record 4
C2Se (PBE, optimized geometry); formation energy (no corrections) = 1642 meV/atom; SG = No. 63; density of states at the Fermi level = 0.1455 states/eV/atom; calculated density = 2.3 g cm⁻³; E above lowest polymorph = 1371 meV/atom; magnetic moment = 0.400 Bohr magnetons per cell
1.0
3.330 -8.292 0.000
3.330 8.292 0.000
0.000 0.000 2.724
C Se
4 2
Direct
0.752 0.248 0.750
0.500 0.500 0.750
0.248 0.752 0.250
0.500 0.500 0.250
0.172 0.828 0.750
0.828 0.172 0.250

Record 5
CSe (PBE, optimized geometry); formation energy (no corrections) = 2118 meV/atom; SG = No. 194; density of states at the Fermi level = 0.5776 states/eV/atom; calculated density = 5.9 g cm⁻³; E above lowest polymorph = 1614 meV/atom; magnetic moment = 0.000 Bohr magnetons per cell
1.0
3.174 0.000 0.000
-1.587 2.749 0.000
0.000 0.000 5.823
C Se
2 2
Direct
0.000 0.000 0.000
0.000 0.000 0.500
0.333 0.667 0.250
0.667 0.333 0.750

Record 6
CSe (PBE, optimized geometry); formation energy (no corrections) = 1720 meV/atom; SG = No. 129; density of states at the Fermi level = 0.3594 states/eV/atom; calculated density = 4.7 g cm⁻³; E above lowest polymorph = 1216 meV/atom; magnetic moment = 0.000 Bohr magnetons per cell
1.0
3.238 0.000 0.000
0.000 3.238 0.000
0.000 0.000 6.094
C Se
2 2
Direct
0.250 0.250 0.133
0.750 0.750 0.867
0.250 0.250 0.812
0.750 0.750 0.188

Record 7
CSe3 (PBE, optimized geometry); formation energy (no corrections) = 608 meV/atom; SG = No. 146; density of states at the Fermi level = 0.0826 states/eV/atom; calculated density = 3.8 g cm⁻³; E above lowest polymorph = 42 meV/atom; magnetic moment = 0.000 Bohr magnetons per cell
1.0
-0.230 3.321 6.029
-5.511 -0.023 -4.131
-2.605 -6.557 3.512
C Se
3 9
Direct
0.000 0.000 0.361
0.333 0.667 0.028
0.667 0.333 0.694
0.345 0.401 0.028
0.599 0.944 0.028
0.056 0.655 0.028
0.678 0.067 0.695
0.933 0.611 0.695
0.389 0.322 0.695
0.012 0.734 0.361
0.266 0.278 0.361
0.722 0.988 0.361

Record 8
C4Se (PBE, optimized geometry); formation energy (no corrections) = 1883 meV/atom; SG = No. 139; density of states at the Fermi level = 0.2057 states/eV/atom; calculated density = 4.0 g cm⁻³; E above lowest polymorph = 358 meV/atom; magnetic moment = 0.000 Bohr magnetons per cell
1.0
5.162 -1.768 3.123
3.470 1.614 4.988
-5.486 -1.181 -2.834
C Se
4 1
Direct
0.750 0.250 0.500
0.250 0.750 0.500
0.807 0.807 0.000
0.193 0.193 0.000
0.000 0.000 0.000

Record 9
CSe5 (PBE, optimized geometry); formation energy (no corrections) = 788 meV/atom; SG = No. 38; density of states at the Fermi level = 0.5127 states/eV/atom; calculated density = 4.7 g cm⁻³; E above lowest polymorph = 248 meV/atom; magnetic moment = 0.000 Bohr magnetons per cell
1.0
2.071 -10.870 0.000
2.071 10.870 0.000
0.000 0.000 3.226
C Se
1 5
Direct
0.020 0.980 0.000
0.358 0.642 0.000
0.681 0.319 0.000
0.439 0.561 0.500
0.763 0.237 0.500
0.072 0.928 0.500

Record 10
CSe3 (PBE, optimized geometry); formation energy (no corrections) = 1786 meV/atom; SG = No. 123; density of states at the Fermi level = 0.5362 states/eV/atom; calculated density = 6.0 g cm⁻³; E above lowest polymorph = 1220 meV/atom; magnetic moment = 0.001 Bohr magnetons per cell
1.0
4.539 0.000 0.000
0.000 4.539 0.000
0.000 0.000 3.319
C Se
1 3
Direct
0.000 0.000 0.000
0.500 0.000 0.500
0.500 0.500 0.000
0.000 0.500 0.500

Record 11
CSe3 (PBE, optimized geometry); formation energy (no corrections) = 1370 meV/atom; SG = No. 187; density of states at the Fermi level = 0.6993 states/eV/atom; calculated density = 6.0 g cm⁻³; E above lowest polymorph = 804 meV/atom; magnetic moment = 0.000 Bohr magnetons per cell
1.0
3.339 0.000 0.000
-1.670 2.892 0.000
0.000 0.000 7.188
C Se
1 3
Direct
0.000 0.000 0.000
0.000 0.000 0.500
0.667 0.333 0.203
0.667 0.333 0.797

Record 12
CSe (PBE, optimized geometry); formation energy (no corrections) = 2030 meV/atom; SG = No. 141; density of states at the Fermi level = 0.5728 states/eV/atom; calculated density = 4.1 g cm⁻³; E above lowest polymorph = 1526 meV/atom; magnetic moment = 0.365 Bohr magnetons per cell
1.0
8.440 0.046 0.000
7.359 4.132 0.000
-7.900 -2.089 2.113
C Se
2 2
Direct
0.000 0.000 0.000
0.750 0.250 0.500
0.500 0.500 0.000
0.250 0.750 0.500

Record 13
C2Se (PBE, optimized geometry); formation energy (no corrections) = 3503 meV/atom; SG = No. 227; density of states at the Fermi level = 0.7090 states/eV/atom; calculated density = 5.1 g cm⁻³; E above lowest polymorph = 3231 meV/atom; magnetic moment = 0.000 Bohr magnetons per cell
1.0
0.877 -4.449 -0.488
0.050 -2.729 3.654
-3.327 -3.060 0.607
C Se
4 2
Direct
0.125 0.625 0.125
0.125 0.125 0.125
0.625 0.125 0.125
0.125 0.125 0.625
0.750 0.750 0.750
0.500 0.500 0.500

Record 14
CSe (PBE, optimized geometry); formation energy (no corrections) = 2044 meV/atom; SG = No. 65; density of states at the Fermi level = 0.7587 states/eV/atom; calculated density = 4.2 g cm⁻³; E above lowest polymorph = 1541 meV/atom; magnetic moment = 0.520 Bohr magnetons per cell
1.0
-0.120 -3.535 -2.383
2.651 1.953 2.711
-1.234 -1.501 2.288
C Se
1 1
Direct
0.000 0.000 0.000
0.500 0.500 0.500